{
  "formula": "Dy3Co8Cu",
  "functional": "PBE",
  "state": "relaxed",
  "lattice": [[-4.699, -0.599, -1.546], [-2.205, -4.451, 0.397], [-4.994, 0.311, 7.026]],
  "species": ["Dy", "Dy", "Dy", "Co", "Co", "Co", "Co", "Co", "Co", "Co", "Co", "Cu"],
  "frac_coords": [[0.376, 0.376, 0.871], [0.992, 0.992, 0.025], [0.506, 0.506, 0.483], [0.935, 0.437, 0.191], [0.443, 0.939, 0.680], [0.437, 0.437, 0.191], [0.939, 0.939, 0.680], [0.189, 0.189, 0.434], [0.688, 0.688, 0.936], [0.437, 0.935, 0.191], [0.939, 0.443, 0.680], [0.871, 0.871, 0.388]],
  "n_ef_per_ev_cell": 16.31,
  "e_form_ev_per_atom": -0.1281,
  "m_tot_mub_per_fu": 9.25,
  "total_energy_ev_per_cell": -76.29
}